(1)
Sc3OsRu, relaxed, DFT GGA-PBE; density of states at the Fermi level = 4.1 states/eV per cell; spin magnetization = 0.00 Bohr magnetons per cell; total energy = -7.406 eV/atom
1.0
-1.6749 2.7835 3.5210
-3.7123 1.2533 -2.7566
-2.5228 -3.6922 1.7187
Sc Ru Os
3 1 1
direct
0.0000 0.5000 0.0000
0.5000 0.0000 0.0000
0.0000 0.0000 0.5000
0.0000 0.0000 0.0000
0.5000 0.5000 0.5000


(2)
Th4Bi3Te, relaxed, DFT GGA-PBE; density of states at the Fermi level = 9.2 states/eV per cell; E_form (uncorrected) = -5.3 eV per formula unit; spin magnetization = 0.00 Bohr magnetons per cell; total energy = -6.216 eV/atom
1.0
-3.4568 1.7246 5.1787
3.4198 -4.0934 3.6458
4.2710 5.8742 -3.1355
Te Th Bi
1 4 3
direct
0.0000 0.0000 0.0000
0.7540 0.7540 0.5079
0.5000 0.0000 0.0000
0.0000 0.5000 0.0000
0.2460 0.2460 0.4921
0.7500 0.2500 0.5000
0.2500 0.7500 0.5000
0.5000 0.5000 0.0000


(3)
PmHf2TiO8, relaxed, DFT GGA-PBE; density of states at the Fermi level = 5.0 states/eV per cell; E_form (uncorrected) = -37.4 eV per formula unit; spin magnetization = 0.97 Bohr magnetons per cell; total energy = -9.134 eV/atom
1.0
4.9167 0.0604 -0.0033
0.1100 4.9148 -0.0056
0.0043 0.0075 6.5885
O Hf Ti Pm
8 2 1 1
direct
0.2974 0.2966 0.0000
0.1990 0.7998 0.7885
0.3243 0.3226 0.5000
0.1990 0.7998 0.2115
0.7026 0.7034 0.0000
0.6757 0.6774 0.5000
0.8010 0.2002 0.2115
0.8010 0.2002 0.7885
0.5000 0.5000 0.2477
0.5000 0.5000 0.7523
0.0000 0.0000 0.0000
0.0000 0.0000 0.5000


(4)
TlCdCl3, relaxed, DFT GGA-PBE; density of states at the Fermi level = 2.5 states/eV per cell; E_form (uncorrected) = -2.2 eV per formula unit; spin magnetization = 0.61 Bohr magnetons per cell; total energy = -2.197 eV/atom
1.0
5.4179 0.0000 0.0000
0.0000 5.4179 0.0000
0.0000 0.0000 5.4179
Tl Cl Cd
1 3 1
direct
0.0000 0.0000 0.0000
0.0000 0.5000 0.0000
0.5000 0.0000 0.0000
0.0000 0.0000 0.5000
0.5000 0.5000 0.5000


(5)
Tb7ErMg2, relaxed, DFT GGA-PBE; density of states at the Fermi level = 16.6 states/eV per cell; spin magnetization = 0.00 Bohr magnetons per cell; total energy = -3.447 eV/atom
1.0
-3.8570 0.5257 -3.4978
3.6770 -6.8582 -5.0853
-6.2791 -1.3449 6.7217
Tb Mg Er
7 2 1
direct
0.5000 0.2947 0.0699
0.5000 0.5000 0.5000
0.5000 0.7053 0.9301
0.5000 0.0699 0.2947
0.5000 0.9301 0.7053
0.0000 0.2094 0.7906
0.0000 0.7906 0.2094
0.5000 0.2988 0.7012
0.5000 0.7012 0.2988
0.0000 0.0000 0.0000